First-principles (PBE) data for LuUSn after structural relaxation, as listed in the Open Quantum Materials Database.

Results
Its density is 9.85 g/cm3. The magnetic moment comes out at 18.345 μB per cell. The calculation puts the excess energy over the best structure of this formula in the dataset at 0.000 eV/atom.

Unit cell a=7.104 b=7.104 c=7.104 alpha=90.00 beta=90.00 gamma=90.00
Space group F-43m (No. 216)
One atom of each set of equivalent atoms:
Lu1 0.000 0.000 0.000 x4
U1 0.250 0.250 0.250 x4
Sn1 0.250 0.250 0.750 x4